A plane-wave DFT calculation with GGA-PBE was carried out for a geometry-optimized Na2LaGeH structure.

Computed properties:
The calculation puts the density of states at the Fermi level at 1.6 states/eV/cell. The calculation puts the magnetic moment at 0.00 μB per cell. Its total energy is -3.440 eV/atom.

abc: 4.528 4.528 5.245
angles: 90.00 90.00 90.00
Space group P4/mmm (No. 123)
Asymmetric unit:
Na 0.000 0.500 0.000 (multiplicity 2)
La 0.000 0.000 0.500 (multiplicity 1)
Ge 0.500 0.500 0.500 (multiplicity 1)
H 0.000 0.000 0.000 (multiplicity 1)